This record from Alexandria describes a geometry-optimized NiPtS structure. The functional is GGA-PBE.

Output
volume = 178.7 Å³/cell
E above lowest polymorph = 71 meV per atom
ΔE_f (raw) = -0.10 eV per atom
M_tot = 0.000 μB per formula unit

Cell: 13.205 3.212 4.451 Å, 90.00 108.80 90.00°
Space group Cm (No. 8)
Inequivalent atoms, fractional coordinates:
Ni1 0.000 0.000 0.000 (multiplicity 2)
Ni2 0.225 0.000 0.950 (multiplicity 2)
Pt1 0.163 0.500 0.391 (multiplicity 2)
Pt2 0.347 0.000 0.566 (multiplicity 2)
S1 0.100 0.500 0.830 (multiplicity 2)
S2 0.404 0.000 0.124 (multiplicity 2)

***

This record from Alexandria describes a geometry-optimized TcRh2 structure. The functional is GGA-PBE.

Output
volume = 129.4 Å³/cell
E above lowest polymorph = 94 meV per atom
M_tot = 0.000 μB per formula unit

Cell: 7.4077 7.4077 2.7237 Å, 90.00 90.00 120.00°
Space group P-62m (No. 189)
Inequivalent atoms, fractional coordinates:
Tc1 0.0000 0.0000 0.0000 (multiplicity 1)
Tc2 0.3333 0.6667 0.5000 (multiplicity 2)
Rh1 0.0000 0.3016 0.5000 (multiplicity 3)
Rh2 0.0000 0.6386 0.0000 (multiplicity 3)

***

This record from Alexandria describes a geometry-optimized CaDyTm2Tl4 structure. The functional is GGA-PBE.

Output
volume = 655.7 Å³/cell
calculated total energy = -3.46 eV per atom
M_tot = 0.000 μB per formula unit

Cell: 5.3611 5.3611 26.3438 Å, 90.00 90.00 120.00°
Space group R-3m (No. 166, hexagonal axes)
Inequivalent atoms, fractional coordinates:
Ca1 0.0000 0.0000 0.0000 (multiplicity 3)
Dy1 0.0000 0.0000 0.5000 (multiplicity 3)
Tm1 0.0000 0.0000 0.2516 (multiplicity 6)
Tl1 0.0000 0.0000 0.1259 (multiplicity 6)
Tl2 0.0000 0.0000 0.3762 (multiplicity 6)

***

This record from Alexandria describes a geometry-optimized ZnCoMoOs structure. The functional is GGA-PBE.

Output
volume = 220.8 Å³/cell
calculated total energy = -7.50 eV per atom
M_tot = 1.032 μB per formula unit

Cell: 6.044 6.044 6.044 Å, 90.00 90.00 90.00°
Space group F-43m (No. 216)
Inequivalent atoms, fractional coordinates:
Zn1 0.000 0.000 0.000 (multiplicity 4)
Co1 0.250 0.250 0.750 (multiplicity 4)
Mo1 0.000 0.000 0.500 (multiplicity 4)
Os1 0.250 0.250 0.250 (multiplicity 4)

***

Question: Which value of M_tot does entry 2 give?
Answer: 0.000 μB per formula unit